## PIr2Pt (PBE-GGA)

Data for an optimized crystal structure of PIr2Pt.

a b c (Å): 2.722 4.836 9.033
angles (deg): 90.00 90.00 90.00
Space group Cmm2 (No. 35)
One atom of each set of equivalent atoms:
P1 0.000 0.000 0.000
Ir1 0.000 0.000 0.515
Ir2 0.000 0.500 0.775
Pt1 0.000 0.500 0.249

Results
As for the density of states at the Fermi level: 3.61 states/eV/f.u. As for the formation enthalpy at 0 K: 1.1 eV/f.u. Its volume is 14.861 Å³ per atom. The calculation puts the final energy at -28.11 eV/f.u.


## PIr2Pt (PBE-GGA)

Data for an optimized crystal structure of PIr2Pt.

a b c (Å): 2.861 3.689 5.735
angles (deg): 90.00 104.36 90.00
Space group Pm (No. 6)
One atom of each set of equivalent atoms:
P1 0.000 0.000 0.000
Ir1 0.428 0.500 0.856
Ir2 0.788 0.000 0.575
Pt1 0.152 0.500 0.303

Results
As for the density of states at the Fermi level: 2.43 states/eV/f.u. As for the formation enthalpy at 0 K: 0.0 eV/f.u. Its volume is 14.659 Å³ per atom. The calculation puts the final energy at -29.17 eV/f.u.


## PIr2Pt (PBE-GGA)

Data for an optimized crystal structure of PIr2Pt.

a b c (Å): 5.175 5.175 11.921
angles (deg): 90.00 90.00 90.00
Space group I-42d (No. 122)
One atom of each set of equivalent atoms:
P1 0.000 0.000 0.000
Ir1 0.204 0.250 0.125
Pt1 0.000 0.000 0.500

Results
As for the density of states at the Fermi level: 4.49 states/eV/f.u. As for the formation enthalpy at 0 K: 1.4 eV/f.u. Its volume is 19.952 Å³ per atom. The calculation puts the final energy at -27.76 eV/f.u.


## PIr2Pt (PBE-GGA)

Data for an optimized crystal structure of PIr2Pt.

a b c (Å): 6.204 6.204 6.204
angles (deg): 90.00 90.00 90.00
Space group F-43m (No. 216)
One atom of each set of equivalent atoms:
P1 0.000 0.000 0.000
Ir1 0.000 0.000 0.500
Ir2 0.250 0.250 0.250
Pt1 0.250 0.250 0.750

Results
As for the density of states at the Fermi level: 5.70 states/eV/f.u. As for the formation enthalpy at 0 K: 1.7 eV/f.u. Its volume is 14.928 Å³ per atom. The calculation puts the final energy at -27.49 eV/f.u.


## PIr2Pt (PBE-GGA)

Data for an optimized crystal structure of PIr2Pt.

a b c (Å): 2.823 4.324 9.625
angles (deg): 90.00 90.00 90.00
Space group Immm (No. 71)
One atom of each set of equivalent atoms:
P1 0.000 0.000 0.000
Ir1 0.000 0.500 0.306
Pt1 0.000 0.000 0.500

Results
As for the density of states at the Fermi level: 3.07 states/eV/f.u. As for the formation enthalpy at 0 K: -0.1 eV/f.u. Its volume is 14.687 Å³ per atom. The calculation puts the final energy at -29.28 eV/f.u.


## PIrPt2 (PBE-GGA)

Data for an optimized crystal structure of PIrPt2.

a b c (Å): 2.851 2.851 7.226
angles (deg): 90.00 90.00 90.00
Space group P4mm (No. 99)
One atom of each set of equivalent atoms:
P1 0.000 0.000 0.000
Ir1 0.500 0.500 0.802
Pt1 0.000 0.000 0.520
Pt2 0.500 0.500 0.232

Results
As for the density of states at the Fermi level: 2.54 states/eV/f.u. As for the formation enthalpy at 0 K: -0.1 eV/f.u. Its volume is 14.684 Å³ per atom. The calculation puts the final energy at -26.43 eV/f.u.


## PIrPt2 (PBE-GGA)

Data for an optimized crystal structure of PIrPt2.

a b c (Å): 2.8990 2.8990 24.5180
angles (deg): 90.00 90.00 120.00
Space group R-3m (No. 166, hexagonal axes)
One atom of each set of equivalent atoms:
P1 0.0000 0.0000 0.0000
Ir1 0.0000 0.0000 0.5000
Pt1 0.0000 0.0000 0.2597

Results
As for the density of states at the Fermi level: 4.19 states/eV/f.u. As for the formation enthalpy at 0 K: 0.2 eV/f.u. Its volume is 14.870 Å³ per atom. The calculation puts the final energy at -26.10 eV/f.u.


## PIrPt2 (PBE-GGA)

Data for an optimized crystal structure of PIrPt2.

a b c (Å): 5.152 5.152 12.308
angles (deg): 90.00 90.00 90.00
Space group I-42d (No. 122)
One atom of each set of equivalent atoms:
P1 0.000 0.000 0.000
Ir1 0.000 0.000 0.500
Pt1 0.211 0.250 0.125

Results
As for the density of states at the Fermi level: 1.66 states/eV/f.u. As for the formation enthalpy at 0 K: 1.6 eV/f.u. Its volume is 20.415 Å³ per atom. The calculation puts the final energy at -24.80 eV/f.u.


> The lowest volume belongs to which entry?

number 2


> Which of these has the lowest volume?

number 2


> Number 3 is which compound?

PIr2Pt